## Re2Cl (GGA-PBE)

Data for a relaxed Re2Cl crystal.

Summary:
As for the energy above the most stable polymorph in this dataset: 2125 meV per atom. The calculation puts the total energy at -31.0 eV for the cell shown.

abc: 7.4761 7.4761 7.4761
angles: 60.00 60.00 60.00
With the nearest neighbours (Å) after each atom.
Fractional coordinates of all 6 atoms:
Re: 0.0000 0.0000 0.0000  2 Cl 2.29
Re: 0.0000 0.0000 0.5000  2 Cl 2.29
Re: 0.0000 0.5000 0.0000  2 Cl 2.29
Re: 0.5000 0.0000 0.0000  2 Cl 2.29
Cl: 0.1250 0.1250 0.1250  4 Re 2.29
Cl: 0.8750 0.8750 0.8750  4 Re 2.29